Entry 1:
Computed, not measured: ThNi4B after structural relaxation at the PBE-GGA level of DFT.

Structure (CIF):
```
data_ThNi4B
_chemical_formula_sum 'Th4 Ni16 B4'
_space_group_name_H-M_alt 'C m c m'
_space_group_IT_number 63
_space_group_name_Hall '-C 2c 2'
_cell_length_a 3.641
_cell_length_b 14.141
_cell_length_c 6.044
_cell_angle_alpha 90.00
_cell_angle_beta 90.00
_cell_angle_gamma 90.00
loop_
_atom_site_label
_atom_site_type_symbol
_atom_site_fract_x
_atom_site_fract_y
_atom_site_fract_z
Th1 Th 0.000 0.111 0.250
Ni1 Ni 0.000 0.092 0.750
Ni2 Ni 0.000 0.307 0.055
Ni3 Ni 0.000 0.500 0.000
B1 B 0.000 0.234 0.750
```

E_tot = -157.780 eV/cell
Calculated formation energy = -2.22 eV/f.u.


Entry 2:
Computed, not measured: Ag3HI4 after structural relaxation at the PBE-GGA level of DFT.

Structure (CIF):
```
data_Ag3HI4
_chemical_formula_sum 'Ag9 H3 I12'
_space_group_name_H-M_alt 'R 3 m'
_space_group_IT_number 160
_space_group_name_Hall 'R 3 -2"'
_cell_length_a 4.6637
_cell_length_b 4.6637
_cell_length_c 43.1500
_cell_angle_alpha 90.00
_cell_angle_beta 90.00
_cell_angle_gamma 120.00
loop_
_atom_site_label
_atom_site_type_symbol
_atom_site_fract_x
_atom_site_fract_y
_atom_site_fract_z
Ag1 Ag 0.0000 0.0000 0.0000
Ag2 Ag 0.0000 0.0000 0.2434
Ag3 Ag 0.0000 0.0000 0.4864
H1 H 0.0000 0.0000 0.7561
I1 I 0.0000 0.0000 0.0637
I2 I 0.0000 0.0000 0.3074
I3 I 0.0000 0.0000 0.5507
I4 I 0.0000 0.0000 0.7963
```

E_tot = -55.664 eV/cell


- E_tot of number 2 (Ag3HI4)?
  -55.664 eV/cell